This record from Alexandria describes a relaxed TmNbPt crystal. The functional is PBE.

a = 3.434 Å, b = 4.393 Å, c = 8.152 Å
α = 90.00°, β = 90.00°, γ = 90.00°
Space group Pmmn (No. 59, origin choice 2)
Asymmetric unit:
1 Tm 0.250 0.250 0.144 [2 per cell]
2 Nb 0.250 0.750 0.486 [2 per cell]
3 Pt 0.250 0.250 0.775 [2 per cell]

Properties
The calculation puts the formation energy from the elements at -0.76 eV/atom.



This record from Alexandria describes a relaxed K2Dy2NpTe6 crystal. The functional is PBE.

a = 7.672 Å, b = 13.277 Å, c = 8.825 Å
α = 90.00°, β = 107.07°, γ = 90.00°
Space group C2/m (No. 12)
Asymmetric unit:
1 K 0.000 0.168 0.000 [4 per cell]
2 Dy 0.000 0.333 0.500 [4 per cell]
3 Np 0.000 0.000 0.500 [2 per cell]
4 Te 0.236 0.164 0.707 [8 per cell]
5 Te 0.238 0.500 0.705 [4 per cell]

Properties
The uncorrected formation energy comes out at -1.1696 eV per atom.



| no. | VASP energy (eV/atom) |
| --- | --- |
| 1 | -7.62 |
| 2 | -5.10 |